1.
The following is a DFT calculation (SCAN) of a crystal of Ba3FeTe relaxed with PBEsol.

- Space-group type: Pm-3m (221)
- Formation energy without anion corrections: -0.1947 eV per atom

a b c (Å): 5.542 5.542 5.542
angles (deg): 90.00 90.00 90.00
Sites, in units of the cell vectors:
Ba (0.000, 0.000, 0.500)
Ba (0.500, 0.000, 0.000)
Ba (0.000, 0.500, 0.000)
Te (0.500, 0.500, 0.500)
Fe (0.000, 0.000, 0.000)

=====

2.
The following is a DFT calculation (SCAN) of a crystal of BaFeTe relaxed with PBEsol.

- Space-group type: I4mm (107)
- Formation energy without anion corrections: -0.1017 eV per atom
- Excess energy over the best structure of this formula in the dataset: 4.1 kJ/mol of formula units

a b c (Å): 3.683 3.683 6.412
angles (deg): 106.69 106.69 90.00
Sites, in units of the cell vectors:
Ba (0.003, 0.003, 0.006)
Fe (0.711, 0.711, 0.421)
Te (0.286, 0.286, 0.573)

=====

3.
The following is a DFT calculation (SCAN) of a crystal of BaFe2Te relaxed with PBEsol.

- Space-group type: Pmmm (47)
- Formation energy without anion corrections: 0.1402 eV per atom

a b c (Å): 4.473 4.727 5.057
angles (deg): 90.00 90.00 90.00
Sites, in units of the cell vectors:
Te (0.500, 0.500, 0.500)
Fe (0.000, 0.225, 0.500)
Fe (0.000, 0.775, 0.500)
Ba (0.500, 0.000, 0.000)

=====

4.
The following is a DFT calculation (SCAN) of a crystal of BaFe2Te relaxed with PBEsol.

- Space-group type: P4/mmm (123)
- Formation energy without anion corrections: 0.6013 eV per atom

a b c (Å): 4.642 3.890 4.646
angles (deg): 90.00 90.00 90.00
Sites, in units of the cell vectors:
Fe (0.500, 0.000, 0.500)
Ba (0.000, 0.500, 0.500)
Te (0.500, 0.500, 0.000)
Fe (0.000, 0.000, 0.000)

=====

Q: formation energy without anion corrections of number 1 (Ba3FeTe)?
A: -0.1947 eV per atom